Entry 1:
This record from Alexandria describes crystalline NaCa2InO at its relaxed geometry. The functional is PBE.

Unit cell a=4.714 b=4.714 c=5.226 alpha=90.00 beta=90.00 gamma=90.00
Element x y z (fractional)
Na 0.000 0.000 0.000
Ca 0.000 0.500 0.500
Ca 0.500 0.000 0.500
In 0.500 0.500 0.000
O 0.000 0.000 0.500

Space-group type: P4/mmm, No. 123
E_form (uncorrected): -1.202 eV/atom
Fermi-level density of states: 0.40 states/eV/atom
Final energy: -3.81 eV per atom


Entry 2:
This record from Alexandria describes crystalline Sc2NiOsRu at its relaxed geometry. The functional is PBE.

Unit cell a=4.811 b=4.811 c=4.362 alpha=90.00 beta=90.00 gamma=90.00
Element x y z (fractional)
Sc 0.000 0.500 0.000
Sc 0.500 0.000 0.000
Ni 0.000 0.000 0.500
Os 0.500 0.500 0.500
Ru 0.000 0.000 0.000

Space-group type: P4/mmm, No. 123
ΔE_f: 4.4 eV per formula unit
Fermi-level density of states: 0.80 states/eV/atom
Final energy: -6.91 eV per atom


Entry 3:
This record from Alexandria describes crystalline LaNdHf at its relaxed geometry. The functional is PBE.

Unit cell a=8.217 b=8.217 c=8.217 alpha=156.02 beta=156.02 gamma=34.17
Element x y z (fractional)
La 0.000 0.000 0.000
Nd 0.695 0.695 0.000
Hf 0.344 0.344 0.000

Space-group type: I4mm, No. 107
ΔE_f: 0.5 eV per formula unit
Fermi-level density of states: 1.44 states/eV/atom
Excess energy over the best structure of this formula in the dataset: 38.6 meV per atom
Final energy: -6.37 eV per atom


Entry 4:
This record from Alexandria describes crystalline BaNaAc2Tl4 at its relaxed geometry. The functional is PBE.

Unit cell a=10.359 b=10.359 c=10.359 alpha=32.24 beta=32.24 gamma=32.24
Element x y z (fractional)
Ba 0.000 0.000 0.000
Na 0.500 0.500 0.500
Ac 0.243 0.243 0.243
Ac 0.757 0.757 0.757
Tl 0.126 0.126 0.126
Tl 0.384 0.384 0.384
Tl 0.616 0.616 0.616
Tl 0.874 0.874 0.874

Space-group type: R-3m, No. 166
ΔE_f: -2.4 eV per formula unit
Fermi-level density of states: 0.74 states/eV/atom
Final energy: -2.92 eV per atom


Entry 5:
This record from Alexandria describes crystalline SrGeNF2 at its relaxed geometry. The functional is PBE.

Unit cell a=4.503 b=4.503 c=5.158 alpha=90.00 beta=90.00 gamma=90.00
Element x y z (fractional)
Sr 0.000 0.000 0.000
Ge 0.500 0.500 0.500
N 0.000 0.000 0.500
F 0.000 0.500 0.000
F 0.500 0.000 0.000

Space-group type: P4/mmm, No. 123
E_form (uncorrected): -0.859 eV/atom
Fermi-level density of states: 0.26 states/eV/atom
Excess energy over the best structure of this formula in the dataset: 750.3 meV per atom
Final energy: -4.53 eV per atom


Entry 6:
This record from Alexandria describes crystalline V2CuRu at its relaxed geometry. The functional is PBE.

Unit cell a=5.394 b=5.394 c=5.394 alpha=103.06 beta=103.06 gamma=123.23
Element x y z (fractional)
V 0.107 0.625 0.982
V 0.375 0.357 0.482
V 0.643 0.125 0.018
V 0.875 0.893 0.518
Cu 0.250 0.750 0.500
Cu 0.500 0.500 0.000
Ru 0.000 0.000 0.000
Ru 0.750 0.250 0.500

Space-group type: I-42d, No. 122
ΔE_f: 1.7 eV per formula unit
Fermi-level density of states: 1.13 states/eV/atom
Final energy: -7.49 eV per atom


Entry 7:
This record from Alexandria describes crystalline ThSiRhN at its relaxed geometry. The functional is PBE.

Unit cell a=3.960 b=3.960 c=8.198 alpha=90.00 beta=90.00 gamma=90.00
Element x y z (fractional)
Th 0.250 0.250 0.168
Th 0.750 0.750 0.832
Si 0.250 0.250 0.659
Si 0.750 0.750 0.341
Rh 0.250 0.750 0.500
Rh 0.750 0.250 0.500
N 0.250 0.250 0.880
N 0.750 0.750 0.120

Space-group type: P4/nmm, No. 129
E_form (uncorrected): -1.263 eV/atom
Fermi-level density of states: 0.20 states/eV/atom
Final energy: -8.39 eV per atom


Entry 8:
This record from Alexandria describes crystalline MgScCd3 at its relaxed geometry. The functional is PBE.

Unit cell a=6.912 b=6.912 c=5.718 alpha=90.00 beta=90.00 gamma=120.00
Element x y z (fractional)
Mg 0.000 0.000 0.000
Mg 0.000 0.000 0.500
Sc 0.333 0.667 0.250
Sc 0.667 0.333 0.750
Cd 0.197 0.395 0.750
Cd 0.197 0.803 0.750
Cd 0.395 0.197 0.250
Cd 0.605 0.803 0.750
Cd 0.803 0.197 0.250
Cd 0.803 0.605 0.250

Space-group type: P6_3/mmc, No. 194
ΔE_f: 0.4 eV per formula unit
Fermi-level density of states: 0.50 states/eV/atom
Excess energy over the best structure of this formula in the dataset: 196.9 meV per atom
Final energy: -2.06 eV per atom


Entry 9:
This record from Alexandria describes crystalline CaNbCdAu2 at its relaxed geometry. The functional is PBE.

Unit cell a=5.135 b=5.135 c=5.728 alpha=90.00 beta=90.00 gamma=90.00
Element x y z (fractional)
Ca 0.000 0.000 0.000
Nb 0.000 0.000 0.500
Cd 0.500 0.500 0.000
Au 0.000 0.500 0.500
Au 0.500 0.000 0.500

Space-group type: P4/mmm, No. 123
ΔE_f: 3.5 eV per formula unit
Fermi-level density of states: 0.93 states/eV/atom
Final energy: -3.21 eV per atom


Entry 10:
This record from Alexandria describes crystalline TiReAs2 at its relaxed geometry. The functional is PBE.

Unit cell a=7.554 b=7.554 c=7.554 alpha=140.10 beta=140.10 gamma=57.71
Element x y z (fractional)
Ti 0.000 0.000 0.000
Ti 0.750 0.250 0.500
Re 0.250 0.750 0.500
Re 0.500 0.500 0.000
As 0.150 0.625 0.025
As 0.375 0.400 0.525
As 0.600 0.125 0.975
As 0.875 0.850 0.475

Space-group type: I-42d, No. 122
ΔE_f: 1.3 eV per formula unit
Fermi-level density of states: 1.30 states/eV/atom
Excess energy over the best structure of this formula in the dataset: 495.9 meV per atom
Final energy: -7.09 eV per atom


Entry 11:
This record from Alexandria describes crystalline SrBr3O at its relaxed geometry. The functional is PBE.

Unit cell a=4.939 b=4.939 c=4.939 alpha=90.00 beta=90.00 gamma=90.00
Element x y z (fractional)
Sr 0.000 0.000 0.000
Br 0.000 0.500 0.500
Br 0.500 0.000 0.500
Br 0.500 0.500 0.000
O 0.500 0.500 0.500

Space-group type: Pm-3m, No. 221
E_form (uncorrected): -0.713 eV/atom
Fermi-level density of states: 0.32 states/eV/atom
Excess energy over the best structure of this formula in the dataset: 0.0 meV per atom
Final energy: -3.04 eV per atom


Entry 12:
This record from Alexandria describes crystalline Cd3IrF at its relaxed geometry. The functional is PBE.

Unit cell a=4.532 b=4.532 c=4.532 alpha=90.00 beta=90.00 gamma=90.00
Element x y z (fractional)
Cd 0.000 0.000 0.500
Cd 0.000 0.500 0.000
Cd 0.500 0.000 0.000
Ir 0.500 0.500 0.500
F 0.000 0.000 0.000

Space-group type: Pm-3m, No. 221
E_form (uncorrected): -0.069 eV/atom
Fermi-level density of states: 0.36 states/eV/atom
Excess energy over the best structure of this formula in the dataset: 0.0 meV per atom
Final energy: -2.76 eV per atom


Entry 13:
This record from Alexandria describes crystalline UWC2 at its relaxed geometry. The functional is PBE.

Unit cell a=5.281 b=3.937 c=10.646 alpha=90.00 beta=90.00 gamma=90.00
Element x y z (fractional)
U 0.120 0.250 0.129
U 0.380 0.750 0.629
U 0.620 0.250 0.371
U 0.880 0.750 0.871
W 0.097 0.750 0.395
W 0.403 0.250 0.895
W 0.597 0.750 0.105
W 0.903 0.250 0.605
C 0.139 0.250 0.344
C 0.232 0.250 0.488
C 0.268 0.750 0.988
C 0.361 0.750 0.844
C 0.639 0.250 0.156
C 0.732 0.250 0.012
C 0.768 0.750 0.512
C 0.861 0.750 0.656

Space-group type: Pnma, No. 62
ΔE_f: 1.0 eV per formula unit
Fermi-level density of states: 1.08 states/eV/atom
Excess energy over the best structure of this formula in the dataset: 553.1 meV per atom
Final energy: -10.43 eV per atom


Entry 14:
This record from Alexandria describes crystalline RbSc3S at its relaxed geometry. The functional is PBE.

Unit cell a=5.171 b=5.171 c=5.171 alpha=90.00 beta=90.00 gamma=90.00
Element x y z (fractional)
Rb 0.000 0.000 0.000
Sc 0.000 0.500 0.500
Sc 0.500 0.000 0.500
Sc 0.500 0.500 0.000
S 0.500 0.500 0.500

Space-group type: Pm-3m, No. 221
E_form (uncorrected): -0.075 eV/atom
Fermi-level density of states: 1.42 states/eV/atom
Excess energy over the best structure of this formula in the dataset: 0.0 meV per atom
Final energy: -4.89 eV per atom


Entry 15:
This record from Alexandria describes crystalline Er3Ni8Au at its relaxed geometry. The functional is PBE.

Unit cell a=8.649 b=8.649 c=8.649 alpha=33.46 beta=33.46 gamma=33.46
Element x y z (fractional)
Er 0.000 0.000 0.000
Er 0.130 0.130 0.130
Er 0.516 0.516 0.516
Ni 0.069 0.570 0.570
Ni 0.070 0.070 0.565
Ni 0.070 0.565 0.070
Ni 0.319 0.319 0.319
Ni 0.565 0.070 0.070
Ni 0.570 0.069 0.570
Ni 0.570 0.570 0.069
Ni 0.819 0.819 0.819
Au 0.636 0.636 0.636

Space-group type: R3m, No. 160
ΔE_f: -5.6 eV per formula unit
Fermi-level density of states: 0.96 states/eV/atom
Final energy: -5.74 eV per atom


Entry 16:
This record from Alexandria describes crystalline MoRhSe6 at its relaxed geometry. The functional is PBE.

Unit cell a=6.038 b=6.176 c=6.180 alpha=87.20 beta=61.42 gamma=62.48
Element x y z (fractional)
Mo 0.000 0.000 0.000
Rh 0.000 0.500 0.500
Se 0.110 0.320 0.084
Se 0.159 0.804 0.299
Se 0.493 0.808 0.589
Se 0.507 0.192 0.411
Se 0.841 0.196 0.701
Se 0.890 0.680 0.916

Space-group type: P-1, No. 2
E_form (uncorrected): -0.197 eV/atom
Fermi-level density of states: 0.57 states/eV/atom
Final energy: -5.08 eV per atom


Entry 17:
This record from Alexandria describes crystalline ReTcBr2 at its relaxed geometry. The functional is PBE.

Unit cell a=7.996 b=7.996 c=4.010 alpha=91.35 beta=91.35 gamma=22.56
Element x y z (fractional)
Re 0.000 0.000 0.000
Tc 0.500 0.500 0.500
Br 0.150 0.150 0.232
Br 0.850 0.850 0.768

Space-group type: C2/m, No. 12
E_form (uncorrected): 0.608 eV/atom
Fermi-level density of states: 0.51 states/eV/atom
Excess energy over the best structure of this formula in the dataset: 411.2 meV per atom
Final energy: -5.93 eV per atom


Entry 18:
This record from Alexandria describes crystalline CaOsCl2 at its relaxed geometry. The functional is PBE.

Unit cell a=6.525 b=6.525 c=6.525 alpha=147.21 beta=137.58 gamma=54.62
Element x y z (fractional)
Ca 0.000 0.000 0.000
Os 0.500 0.500 0.000
Cl 0.364 0.864 0.500
Cl 0.636 0.136 0.500

Space-group type: Immm, No. 71
E_form (uncorrected): -0.410 eV/atom
Fermi-level density of states: 0.26 states/eV/atom
Excess energy over the best structure of this formula in the dataset: 0.0 meV per atom
Final energy: -4.64 eV per atom


Entry 19:
This record from Alexandria describes crystalline BP2C3 at its relaxed geometry. The functional is PBE.

Unit cell a=3.184 b=4.219 c=5.092 alpha=67.82 beta=87.40 gamma=71.59
Element x y z (fractional)
B 0.000 0.000 0.000
P 0.370 0.148 0.420
P 0.597 0.796 0.882
C 0.065 0.528 0.528
C 0.926 0.410 0.802
C 0.994 0.906 0.337

Space-group type: P1, No. 1
ΔE_f: 2.8 eV per formula unit
Fermi-level density of states: 0.30 states/eV/atom
Excess energy over the best structure of this formula in the dataset: 152.3 meV per atom
Final energy: -7.07 eV per atom


Entry 20:
This record from Alexandria describes crystalline Pm3Sm5Ho4 at its relaxed geometry. The functional is PBE.

Unit cell a=8.625 b=8.625 c=9.319 alpha=114.48 beta=114.48 gamma=40.43
Element x y z (fractional)
Pm 0.000 0.000 0.000
Pm 0.292 0.292 0.772
Pm 0.708 0.708 0.228
Sm 0.076 0.076 0.699
Sm 0.173 0.173 0.387
Sm 0.500 0.500 0.000
Sm 0.827 0.827 0.613
Sm 0.924 0.924 0.301
Ho 0.288 0.288 0.123
Ho 0.419 0.419 0.559
Ho 0.581 0.581 0.441
Ho 0.712 0.712 0.877

Space-group type: C2/m, No. 12
ΔE_f: 2.7 eV per formula unit
Fermi-level density of states: 1.61 states/eV/atom
Excess energy over the best structure of this formula in the dataset: 208.5 meV per atom
Final energy: -4.46 eV per atom


Entry 21:
This record from Alexandria describes crystalline CaRe3H9S4O6 at its relaxed geometry. The functional is PBE.

Unit cell a=9.100 b=9.100 c=8.919 alpha=90.00 beta=90.00 gamma=120.00
Element x y z (fractional)
Ca 0.333 0.667 0.166
Ca 0.667 0.333 0.834
Re 0.059 0.187 0.381
Re 0.128 0.941 0.381
Re 0.187 0.128 0.619
Re 0.813 0.872 0.381
Re 0.872 0.059 0.619
Re 0.941 0.813 0.619
H 0.019 0.372 0.186
H 0.168 0.801 0.038
H 0.199 0.366 0.038
H 0.207 0.440 0.876
H 0.233 0.793 0.876
H 0.353 0.981 0.186
H 0.366 0.168 0.962
H 0.372 0.353 0.814
H 0.440 0.233 0.124
H 0.560 0.767 0.876
H 0.628 0.647 0.186
H 0.634 0.832 0.038
H 0.647 0.019 0.814
H 0.767 0.207 0.124
H 0.793 0.560 0.124
H 0.801 0.634 0.962
H 0.832 0.199 0.962
H 0.981 0.628 0.814
S 0.000 0.000 0.171
S 0.000 0.000 0.829
S 0.109 0.348 0.613
S 0.239 0.891 0.613
S 0.348 0.239 0.387
S 0.652 0.761 0.613
S 0.761 0.109 0.387
S 0.891 0.652 0.387
O 0.125 0.399 0.237
O 0.169 0.722 0.962
O 0.273 0.875 0.237
O 0.278 0.447 0.962
O 0.399 0.273 0.763
O 0.447 0.169 0.038
O 0.553 0.831 0.962
O 0.601 0.727 0.237
O 0.722 0.553 0.038
O 0.727 0.125 0.763
O 0.831 0.278 0.038
O 0.875 0.601 0.763

Space-group type: P-3, No. 147
Fermi-level density of states: 0.00 states/eV/atom
Final energy: -6.11 eV per atom


Entry 22:
This record from Alexandria describes crystalline NdZrAg2 at its relaxed geometry. The functional is PBE.

Unit cell a=5.113 b=5.113 c=3.568 alpha=90.00 beta=90.00 gamma=90.00
Element x y z (fractional)
Nd 0.000 0.000 0.000
Zr 0.500 0.500 0.000
Ag 0.000 0.500 0.500
Ag 0.500 0.000 0.500

Space-group type: P4/mmm, No. 123
ΔE_f: -0.2 eV per formula unit
Fermi-level density of states: 0.91 states/eV/atom
Excess energy over the best structure of this formula in the dataset: 40.3 meV per atom
Final energy: -4.79 eV per atom


Entry 23:
This record from Alexandria describes crystalline Pm2YCo at its relaxed geometry. The functional is PBE.

Unit cell a=9.432 b=9.432 c=9.432 alpha=23.42 beta=23.42 gamma=23.42
Element x y z (fractional)
Pm 0.000 0.000 0.000
Pm 0.218 0.218 0.218
Y 0.443 0.443 0.443
Co 0.608 0.608 0.608

Space-group type: R3m, No. 160
ΔE_f: 0.2 eV per formula unit
Fermi-level density of states: 1.29 states/eV/atom
Excess energy over the best structure of this formula in the dataset: 156.2 meV per atom
Final energy: -5.71 eV per atom


Entry 24:
This record from Alexandria describes crystalline Si2SbCl at its relaxed geometry. The functional is PBE.

Unit cell a=3.161 b=3.161 c=9.602 alpha=90.00 beta=90.00 gamma=120.20
Element x y z (fractional)
Si 0.000 0.000 0.226
Si 0.000 0.000 0.774
Sb 0.500 0.500 0.500
Cl 0.500 0.500 0.000

Space-group type: Cmmm, No. 65
E_form (uncorrected): 0.478 eV/atom
Fermi-level density of states: 0.50 states/eV/atom
Excess energy over the best structure of this formula in the dataset: 598.1 meV per atom
Final energy: -3.73 eV per atom